(1)
IrOsI2O | the Alexandria database | GGA-PBE | optimized geometry; theoretical density = 10.12 Mg/m³; symmetry = P4/mmm, No. 123; crystal system = tetragonal; energy above the most stable polymorph in this dataset = 0.0 meV/atom
1.0
-2.395 -3.293 3.548
4.664 -0.510 2.675
-0.880 2.887 2.085
I Ir Os O
2 1 1 1
Direct
0.000 0.500 0.000
0.500 0.000 0.000
0.500 0.500 0.500
0.000 0.000 0.000
0.000 0.000 0.500



(2)
IrOsIO2 | the Alexandria database | GGA-PBE | optimized geometry; theoretical density = 7.86 Mg/m³; symmetry = P4/mmm, No. 123; crystal system = tetragonal; energy above the most stable polymorph in this dataset = 0.0 meV/atom
1.0
-1.372 -0.300 -3.438
3.449 -0.243 -1.355
-0.258 -8.242 0.821
I Ir Os O
1 1 1 2
Direct
0.000 0.000 0.500
0.500 0.500 0.500
0.000 0.000 0.000
0.000 0.500 0.000
0.500 0.000 0.000



(3)
IrOsIO2 | the Alexandria database | GGA-PBE | optimized geometry; theoretical density = 7.92 Mg/m³; symmetry = P4/mmm, No. 123; crystal system = tetragonal; energy above the most stable polymorph in this dataset = 502.1 meV/atom
1.0
-2.373 2.899 0.212
-1.099 -1.148 3.399
5.784 4.488 3.385
I Ir Os O
1 1 1 2
Direct
0.000 0.000 0.500
0.000 0.000 0.000
0.500 0.500 0.500
0.000 0.500 0.000
0.500 0.000 0.000



(4)
PIrI2O | the Alexandria database | GGA-PBE | optimized geometry; theoretical density = 7.09 Mg/m³; symmetry = P4/mmm, No. 123; crystal system = tetragonal; energy above the most stable polymorph in this dataset = 0.0 meV/atom
1.0
5.565 0.000 0.000
0.000 5.565 0.000
0.000 0.000 3.726
I P Ir O
2 1 1 1
Direct
0.000 0.500 0.000
0.500 0.000 0.000
0.500 0.500 0.500
0.000 0.000 0.000
0.000 0.000 0.500



(5)
PIrI2O | the Alexandria database | GGA-PBE | optimized geometry; theoretical density = 8.30 Mg/m³; symmetry = P4/mmm, No. 123; crystal system = tetragonal; energy above the most stable polymorph in this dataset = 103.9 meV/atom
1.0
-2.602 4.016 2.440
0.168 -2.708 4.636
2.990 1.478 0.756
I P Ir O
2 1 1 1
Direct
0.000 0.500 0.000
0.500 0.000 0.000
0.000 0.000 0.000
0.500 0.500 0.500
0.000 0.000 0.500



(6)
IrPbI2O | the Alexandria database | GGA-PBE | optimized geometry; theoretical density = 8.66 Mg/m³; symmetry = P4/mmm, No. 123; crystal system = tetragonal; energy above the most stable polymorph in this dataset = 0.0 meV/atom
1.0
-3.576 4.439 1.152
-4.581 -3.388 -1.163
-0.141 -1.059 3.640
Pb I Ir O
1 2 1 1
Direct
0.500 0.500 0.500
0.000 0.500 0.000
0.500 0.000 0.000
0.000 0.000 0.000
0.000 0.000 0.500



(7)
IrPbI2O | the Alexandria database | GGA-PBE | optimized geometry; theoretical density = 7.23 Mg/m³; symmetry = P4/mmm, No. 123; crystal system = tetragonal; energy above the most stable polymorph in this dataset = 1048.5 meV/atom
1.0
6.115 0.000 0.000
0.000 6.115 0.000
0.000 0.000 4.111
Pb I Ir O
1 2 1 1
Direct
0.000 0.000 0.000
0.000 0.500 0.000
0.500 0.000 0.000
0.500 0.500 0.500
0.000 0.000 0.500



(8)
IrPbIO2 | the Alexandria database | GGA-PBE | optimized geometry; theoretical density = 7.73 Mg/m³; symmetry = P4/mmm, No. 123; crystal system = tetragonal; energy above the most stable polymorph in this dataset = 479.7 meV/atom
1.0
4.102 0.000 0.000
0.000 4.102 0.000
0.000 0.000 7.133
Pb I Ir O
1 1 1 2
Direct
0.000 0.000 0.000
0.000 0.000 0.500
0.500 0.500 0.500
0.000 0.500 0.000
0.500 0.000 0.000